Li2FeF4 | Alexandria via LeMat-Bulk | PBE+U | optimized geometry; space group = Cmcm; magnetic moment = 4.00 μB per formula unit; energy above the most stable polymorph in this dataset = 48 meV per atom; electronic total energy = -71.45 eV/cell; calculated density = 3.51 g/cm³
1.0
-0.0938 3.5247 -3.6025
-0.5148 -4.8873 1.1225
-9.6282 1.3826 1.6035
Li Fe F
4 2 8
Cartesian
-5.6884 1.1488 -0.9240 Li
-9.2575 1.6613 -0.3296 Li
-0.9793 -1.6412 -0.5469 Li
-4.5485 -1.1287 0.0475 Li
-7.3663 3.5364 -1.8239 Fe
-2.8706 -3.5164 0.9475 Fe
-4.8141 0.6913 0.8018 F
0.0000 0.0000 0.0000 F
-7.5107 0.6521 -0.2039 F
-1.3499 1.3513 -2.1001 F
-3.8858 1.7155 -1.6777 F
-2.7262 -0.6321 -0.6726 F
-6.3510 -1.6954 0.8013 F
-8.8870 -1.3313 1.2237 F